Below is Ag2PtBr at its PBEsol-relaxed geometry, with properties calculated at the meta-GGA SCAN level.

Unit cell a=3.060 b=3.700 c=6.985 alpha=105.37 beta=90.00 gamma=90.00
Atoms (fractional coordinates):
Br (0.000, 0.309, 0.490)
Ag (0.000, 0.059, 0.994)
Ag (0.500, 0.670, 0.216)
Pt (0.500, 0.462, 0.801)

Values from the calculation:
- total magnetization (Bohr magnetons per cell) = 0.0
- mass density (g cm⁻³) = 10.68
- formation energy without anion corrections (eV per atom) = 0.196